## w
The following is a DFT calculation (PBE-GGA) of an optimized crystal structure of Cs2Zn2P.

```
Cs2Zn2P
1.0
3.7892 0.0000 0.0000
0.0000 3.7892 0.0000
1.8946 1.8946 11.9433
Cs Zn P
2 2 1
Cartesian
1.8946 1.8946 2.2894 Cs
3.7892 3.7892 9.6538 Cs
3.7892 1.8946 5.9716 Zn
1.8946 3.7892 5.9716 Zn
0.0000 0.0000 0.0000 P
```

## x
The following is a DFT calculation (PBE-GGA) of an optimized crystal structure of Cs2Zn2P.

```
Cs2Zn2P
1.0
7.1117 0.0000 0.0000
0.0000 7.1117 0.0000
0.0000 0.0000 5.8548
Cs Zn P
4 4 2
Cartesian
4.9032 5.7643 2.9274 Cs
2.2085 1.3474 2.9274 Cs
1.3474 4.9032 2.9274 Cs
5.7643 2.2085 2.9274 Cs
2.6247 6.1805 0.0000 Zn
0.9312 2.6247 0.0000 Zn
4.4870 0.9312 0.0000 Zn
6.1805 4.4870 0.0000 Zn
3.5559 3.5559 0.0000 P
0.0000 0.0000 0.0000 P
```

Energy comparison, zero being the most stable, in meV/atom: w 62; x 0.